--- P ---
! NaHAu2, relaxed, DFT PBE-GGA; values from VASP
&SYSTEM
  ibrav = 0, nat = 8, ntyp = 3
/
ATOMIC_SPECIES
Na 22.99 Na.upf
Au 196.97 Au.upf
H 1.01 H.upf
CELL_PARAMETERS angstrom
-0.0472 5.3554 -0.9364
-3.0166 -0.8049 -4.4511
-5.9347 2.7434 0.2055
ATOMIC_POSITIONS angstrom
Na 0.0000 0.0000 0.0000
Na -3.7569 5.1870 -1.7124
Au -1.8784 2.5931 -0.8561
Au -3.3867 2.1915 -3.0818
Au -6.3543 3.5627 -2.9793
Au -6.3774 6.2406 -3.4468
H -1.5319 2.2753 -2.6938
H -5.2416 2.1069 -3.4697
! Space-group type   I4_1/amd, No. 141
! ρ   8.9 g/cm3
! M_tot   0.00 μB per formula unit



--- Q ---
! NaHAu2, relaxed, DFT PBE-GGA; values from VASP
&SYSTEM
  ibrav = 0, nat = 4, ntyp = 3
/
ATOMIC_SPECIES
Na 22.99 Na.upf
Au 196.97 Au.upf
H 1.01 H.upf
CELL_PARAMETERS angstrom
0.0000 3.1963 3.1963
3.1963 0.0000 3.1963
3.1963 3.1963 0.0000
ATOMIC_POSITIONS angstrom
Na 3.1963 3.1963 3.1963
Au 1.5982 1.5982 1.5982
Au 4.7945 4.7945 4.7945
H 0.0000 0.0000 0.0000
! Space-group type   Fm-3m, No. 225
! ρ   10.6 g/cm3
! M_tot   0.00 μB per formula unit



Relative stability in meV per atom, measured from the most stable structure: P 0; Q 525



--- P ---
! Na2HPbAu, relaxed, DFT PBE-GGA; values from VASP
&SYSTEM
  ibrav = 0, nat = 5, ntyp = 4
/
ATOMIC_SPECIES
Pb 207.20 Pb.upf
Na 22.99 Na.upf
Au 196.97 Au.upf
H 1.01 H.upf
CELL_PARAMETERS angstrom
4.5656 0.0000 0.0000
0.0000 4.5656 0.0000
0.0000 0.0000 4.7971
ATOMIC_POSITIONS angstrom
Pb 0.0000 0.0000 2.3986
Na 0.0000 2.2828 0.0000
Na 2.2828 0.0000 0.0000
Au 2.2828 2.2828 2.3986
H 0.0000 0.0000 0.0000
! Space-group type   P4/mmm, No. 123
! ρ   7.5 g/cm3
! M_tot   0.00 μB per formula unit



--- Q ---
! Na2HPbAu, relaxed, DFT PBE-GGA; values from VASP
&SYSTEM
  ibrav = 0, nat = 5, ntyp = 4
/
ATOMIC_SPECIES
Pb 207.20 Pb.upf
Na 22.99 Na.upf
Au 196.97 Au.upf
H 1.01 H.upf
CELL_PARAMETERS angstrom
5.1789 0.0000 0.0000
0.0000 5.1789 0.0000
0.0000 0.0000 3.7337
ATOMIC_POSITIONS angstrom
Pb 2.5894 2.5894 1.8669
Na 0.0000 2.5894 0.0000
Na 2.5894 0.0000 0.0000
Au 0.0000 0.0000 1.8669
H 0.0000 0.0000 0.0000
! Space-group type   P4/mmm, No. 123
! ρ   7.5 g/cm3
! M_tot   0.00 μB per formula unit



Relative stability in meV per atom, measured from the most stable structure: P 31; Q 0



--- P ---
! NaHPd2Au, relaxed, DFT PBE-GGA; values from VASP
&SYSTEM
  ibrav = 0, nat = 5, ntyp = 4
/
ATOMIC_SPECIES
Na 22.99 Na.upf
Au 196.97 Au.upf
Pd 106.42 Pd.upf
H 1.01 H.upf
CELL_PARAMETERS angstrom
4.0049 0.0000 0.0000
0.0000 4.0049 0.0000
0.0000 0.0000 4.3368
ATOMIC_POSITIONS angstrom
Na 0.0000 0.0000 2.1684
Au 2.0025 2.0025 2.1684
Pd 0.0000 2.0025 0.0000
Pd 2.0025 0.0000 0.0000
H 0.0000 0.0000 0.0000
! Space-group type   P4/mmm, No. 123
! ρ   10.4 g/cm3
! M_tot   0.00 μB per formula unit



--- Q ---
! NaHPd2Au, relaxed, DFT PBE-GGA; values from VASP
&SYSTEM
  ibrav = 0, nat = 5, ntyp = 4
/
ATOMIC_SPECIES
Na 22.99 Na.upf
Au 196.97 Au.upf
Pd 106.42 Pd.upf
H 1.01 H.upf
CELL_PARAMETERS angstrom
4.0990 0.0000 0.0000
0.0000 4.0990 0.0000
0.0000 0.0000 4.1869
ATOMIC_POSITIONS angstrom
Na 2.0495 2.0495 2.0934
Au 0.0000 0.0000 2.0934
Pd 0.0000 2.0495 0.0000
Pd 2.0495 0.0000 0.0000
H 0.0000 0.0000 0.0000
! Space-group type   P4/mmm, No. 123
! ρ   10.2 g/cm3
! M_tot   0.00 μB per formula unit



Relative stability in meV per atom, measured from the most stable structure: P 0; Q 54



--- P ---
! NaHPt2Au, relaxed, DFT PBE-GGA; values from VASP
&SYSTEM
  ibrav = 0, nat = 5, ntyp = 4
/
ATOMIC_SPECIES
Na 22.99 Na.upf
Au 196.97 Au.upf
Pt 195.08 Pt.upf
H 1.01 H.upf
CELL_PARAMETERS angstrom
3.9746 0.0000 0.0000
0.0000 3.9746 0.0000
0.0000 0.0000 4.3921
ATOMIC_POSITIONS angstrom
Na 0.0000 0.0000 2.1961
Au 1.9873 1.9873 2.1961
Pt 0.0000 1.9873 0.0000
Pt 1.9873 0.0000 0.0000
H 0.0000 0.0000 0.0000
! Space-group type   P4/mmm, No. 123
! ρ   14.6 g/cm3
! M_tot   0.00 μB per formula unit



--- Q ---
! NaHPt2Au, relaxed, DFT PBE-GGA; values from VASP
&SYSTEM
  ibrav = 0, nat = 5, ntyp = 4
/
ATOMIC_SPECIES
Na 22.99 Na.upf
Au 196.97 Au.upf
Pt 195.08 Pt.upf
H 1.01 H.upf
CELL_PARAMETERS angstrom
4.0089 0.0000 0.0000
0.0000 4.0089 0.0000
0.0000 0.0000 4.3818
ATOMIC_POSITIONS angstrom
Na 2.0044 2.0044 2.1909
Au 0.0000 0.0000 2.1909
Pt 0.0000 2.0044 0.0000
Pt 2.0044 0.0000 0.0000
H 0.0000 0.0000 0.0000
! Space-group type   P4/mmm, No. 123
! ρ   14.4 g/cm3
! M_tot   0.00 μB per formula unit



Relative stability in meV per atom, measured from the most stable structure: P 0; Q 94



--- P ---
! Rb2NaHAu, relaxed, DFT PBE-GGA; values from VASP
&SYSTEM
  ibrav = 0, nat = 5, ntyp = 4
/
ATOMIC_SPECIES
Na 22.99 Na.upf
Au 196.97 Au.upf
Rb 85.47 Rb.upf
H 1.01 H.upf
CELL_PARAMETERS angstrom
-6.3939 1.0734 1.4015
-1.7119 -5.0561 -3.9375
0.2494 -2.4048 2.9796
ATOMIC_POSITIONS angstrom
Na -3.9282 -3.1938 0.2218
Au 0.1247 -1.2024 1.4898
Rb -0.8559 -2.5280 -1.9688
Rb -3.1970 0.5367 0.7007
H 0.0000 0.0000 0.0000
! Space-group type   P4/mmm, No. 123
! ρ   3.9 g/cm3
! M_tot   0.00 μB per formula unit



--- Q ---
! Rb2NaHAu, relaxed, DFT PBE-GGA; values from VASP
&SYSTEM
  ibrav = 0, nat = 5, ntyp = 4
/
ATOMIC_SPECIES
Na 22.99 Na.upf
Au 196.97 Au.upf
Rb 85.47 Rb.upf
H 1.01 H.upf
CELL_PARAMETERS angstrom
5.7764 0.0000 0.0000
0.0000 5.7764 0.0000
0.0000 0.0000 4.7596
ATOMIC_POSITIONS angstrom
Na 0.0000 0.0000 2.3798
Au 2.8882 2.8882 2.3798
Rb 0.0000 2.8882 0.0000
Rb 2.8882 0.0000 0.0000
H 0.0000 0.0000 0.0000
! Space-group type   P4/mmm, No. 123
! ρ   4.1 g/cm3
! M_tot   0.33 μB per formula unit



Relative stability in meV per atom, measured from the most stable structure: P 76; Q 0



--- P ---
! RbNa2HAu, relaxed, DFT PBE-GGA; values from VASP
&SYSTEM
  ibrav = 0, nat = 5, ntyp = 4
/
ATOMIC_SPECIES
Na 22.99 Na.upf
Au 196.97 Au.upf
Rb 85.47 Rb.upf
H 1.01 H.upf
CELL_PARAMETERS angstrom
4.7929 0.0000 0.0000
0.0000 4.7929 0.0000
0.0000 0.0000 5.5999
ATOMIC_POSITIONS angstrom
Na 0.0000 2.3964 0.0000
Na 2.3964 0.0000 0.0000
Au 2.3964 2.3964 2.8000
Rb 0.0000 0.0000 2.8000
H 0.0000 0.0000 0.0000
! Space-group type   P4/mmm, No. 123
! ρ   4.3 g/cm3
! M_tot   0.00 μB per formula unit



--- Q ---
! RbNa2HAu, relaxed, DFT PBE-GGA; values from VASP
&SYSTEM
  ibrav = 0, nat = 5, ntyp = 4
/
ATOMIC_SPECIES
Na 22.99 Na.upf
Au 196.97 Au.upf
Rb 85.47 Rb.upf
H 1.01 H.upf
CELL_PARAMETERS angstrom
-2.5830 -3.7129 -3.8214
2.8587 -2.7737 0.7626
-3.3118 -2.2080 4.3839
ATOMIC_POSITIONS angstrom
Na -1.6559 -1.1040 2.1919
Na -1.2915 -1.8565 -1.9107
Au 0.0000 0.0000 0.0000
Rb -1.5180 -4.3473 0.6625
H 1.4294 -1.3868 0.3813
! Space-group type   P4/mmm, No. 123
! ρ   3.8 g/cm3
! M_tot   0.00 μB per formula unit



Relative stability in meV per atom, measured from the most stable structure: P 0; Q 237